[1]
Computed, not measured: a geometry-optimized CsOsPt2 structure at the PBE level of DFT.

Unit cell a=7.020 b=7.020 c=7.020 alpha=111.55 beta=111.55 gamma=105.39
Atoms (fractional coordinates):
Cs 0.000 0.000 0.000
Cs 0.750 0.250 0.500
Os 0.250 0.750 0.500
Os 0.500 0.500 0.000
Pt 0.268 0.625 0.143
Pt 0.375 0.518 0.643
Pt 0.482 0.125 0.857
Pt 0.875 0.732 0.357

Calculated values
E above lowest polymorph: 0.000 eV per atom


[2]
Computed, not measured: a geometry-optimized BaNaSr2Cu structure at the PBE level of DFT.

Unit cell a=6.117 b=6.117 c=6.293 alpha=90.00 beta=90.00 gamma=90.00
Atoms (fractional coordinates):
Ba 0.000 0.000 0.000
Na 0.500 0.500 0.000
Sr 0.000 0.500 0.500
Sr 0.500 0.000 0.500
Cu 0.000 0.000 0.500

Calculated values
E above lowest polymorph: 0.000 eV per atom


[3]
Computed, not measured: a geometry-optimized La5Ho3Se8 structure at the PBE level of DFT.

Unit cell a=8.470 b=8.470 c=8.470 alpha=59.50 beta=59.50 gamma=59.50
Atoms (fractional coordinates):
La 0.000 0.000 0.000
La 0.000 0.500 0.500
La 0.500 0.000 0.500
La 0.500 0.500 0.000
La 0.500 0.500 0.500
Ho 0.000 0.000 0.500
Ho 0.000 0.500 0.000
Ho 0.500 0.000 0.000
Se 0.235 0.750 0.750
Se 0.243 0.243 0.243
Se 0.250 0.250 0.765
Se 0.250 0.765 0.250
Se 0.750 0.235 0.750
Se 0.750 0.750 0.235
Se 0.757 0.757 0.757
Se 0.765 0.250 0.250

Calculated values
formation energy (no corrections): -30.3 eV/f.u.


[4]
Computed, not measured: a geometry-optimized DySnSe3 structure at the PBE level of DFT.

Unit cell a=7.213 b=7.217 c=7.684 alpha=90.05 beta=117.98 gamma=119.96
Atoms (fractional coordinates):
Dy 0.197 0.348 0.046
Dy 0.803 0.652 0.954
Sn 0.200 0.850 0.550
Sn 0.800 0.150 0.450
Se 0.006 0.452 0.253
Se 0.300 0.054 0.253
Se 0.302 0.254 0.747
Se 0.698 0.746 0.253
Se 0.700 0.946 0.747
Se 0.994 0.548 0.747

Calculated values
formation energy (no corrections): -5.2 eV/f.u.